The following is a DFT calculation (PBE) of CdCoIr2 after structural relaxation.

POSCAR file:
```
CdCoIr2
1.0
7.230 0.000 0.000
0.000 7.230 0.000
3.615 3.615 2.536
Ir Co Cd
4 2 2
Direct
0.572 0.125 0.250 Ir
0.178 0.625 0.250 Ir
0.375 0.428 0.750 Ir
0.875 0.822 0.750 Ir
0.500 0.500 0.000 Co
0.250 0.750 0.500 Co
0.000 0.000 0.000 Cd
0.750 0.250 0.500 Cd
```

Values from the calculation:
The space group is I-42d. The density comes out at 13.92 g cm⁻³. The calculation puts the total energy at -46.7 eV per cell. For the energy relative to the elements, the calculation gives 0.5953 eV/atom.

***

The following is a DFT calculation (PBE) of Cd2CoIr after structural relaxation.

POSCAR file:
```
Cd2CoIr
1.0
-1.530 -1.031 -3.576
2.678 0.046 -1.159
3.348 -5.370 0.115
Cd Co Ir
2 1 1
Direct
0.000 0.997 0.003 Cd
0.000 0.503 0.497 Cd
0.500 0.250 0.250 Co
0.500 0.750 0.750 Ir
```

Values from the calculation:
The space group is P2/m. The density comes out at 12.01 g cm⁻³. The calculation puts the total energy at -16.4 eV per cell. For the energy relative to the elements, the calculation gives 0.3395 eV/atom.

***

The following is a DFT calculation (PBE) of CdCoIr2 after structural relaxation.

POSCAR file:
```
CdCoIr2
1.0
-0.471 -4.810 -0.094
1.343 -4.229 1.916
-3.397 -0.725 3.274
Cd Co Ir
1 1 2
Direct
0.750 0.750 0.750 Cd
0.250 0.250 0.250 Co
0.986 0.986 0.021 Ir
0.514 0.514 0.479 Ir
```

Values from the calculation:
The space group is C2/m. The density comes out at 15.45 g cm⁻³. The calculation puts the total energy at -25.0 eV per cell. For the energy relative to the elements, the calculation gives 0.1906 eV/atom.

***

The following is a DFT calculation (PBE) of Cd2CoIr after structural relaxation.

POSCAR file:
```
Cd2CoIr
1.0
-3.135 -1.960 1.686
2.429 -1.419 2.867
-0.795 3.220 2.267
Cd Co Ir
2 1 1
Direct
0.000 0.000 0.000 Cd
0.000 0.500 0.500 Cd
0.500 0.500 0.000 Co
0.500 0.000 0.500 Ir
```

Values from the calculation:
The space group is P4/mmm. The density comes out at 12.06 g cm⁻³. The calculation puts the total energy at -16.5 eV per cell. For the energy relative to the elements, the calculation gives 0.3121 eV/atom.

***

What is the energy relative to the elements in the third record? 0.1906 eV/atom